! NaScSi, optimized geometry, DFT PBE; values from VASP
&SYSTEM
  ibrav = 0, nat = 6, ntyp = 3
/
ATOMIC_SPECIES
Sc 44.96 Sc.upf
Si 28.09 Si.upf
Na 22.99 Na.upf
ATOMIC_POSITIONS crystal
Sc 0.0000 0.4540 0.5460
Sc 0.5000 0.0513 0.9487
Si 0.5000 0.6614 0.3386
Si 0.0000 0.5862 0.4138
Na 0.5000 0.8351 0.1649
Na 0.0000 0.2199 0.7801
CELL_PARAMETERS angstrom
-2.7349 -1.5690 1.9017
3.4665 -9.2634 -2.6574
-0.9974 8.5200 5.5950
! * magnetization: 0.00 μB per atom
! * E_form (uncorrected): -0.1135 eV/atom
! * raw total energy: -26.83 eV for the cell shown